# 1
The following is a PBE calculation of a relaxed Al2O crystal, from the Alexandria database.

Calculated values
- M_tot: 0.152 μB/atom
- Formation energy from raw total energies: 94 meV per atom
- Raw total energy: -12.16 eV per cell

Unit cell a=4.0244 b=4.0244 c=4.0244 alpha=60.00 beta=60.00 gamma=60.00
Last column: nearest neighbours and their distance in Å.
Fractional coordinates of all 3 atoms:
Al 0.2500 0.2500 0.2500  4 O 2.46
Al 0.7500 0.7500 0.7500  4 O 2.46
O 0.0000 0.0000 0.0000  8 Al 2.46



# 2
The following is a PBE calculation of a relaxed LiIrCl2 crystal, from the Alexandria database.

Calculated values
- M_tot: 0.000 μB/atom
- Formation energy from raw total energies: -386 meV per atom
- Raw total energy: -16.01 eV per cell

Unit cell a=5.0813 b=3.5389 c=5.5392 alpha=90.00 beta=99.86 gamma=90.00
Last column: nearest neighbours and their distance in Å.
Fractional coordinates of all 4 atoms:
Li 0.0000 0.0000 0.0000  2 Ir 2.54, 4 Cl 2.79
Ir 0.5000 0.0000 0.0000  4 Cl 2.35, 2 Li 2.54
Cl 0.2940 0.5000 0.7604  2 Ir 2.35
Cl 0.7060 0.5000 0.2396  2 Ir 2.35



| no. | offset from the most stable computed form (meV per atom) |
| --- | --- |
| 1 | 1545.5 |
| 2 | 94.5 |